# GGA-PBE Tb2NdCo, relaxed
data_Tb2NdCo
_symmetry_space_group_name_H-M 'P 1'
_symmetry_Int_Tables_number 1
_symmetry_space_group_name_Hall 'P 1'
_cell_length_a 6.370
_cell_length_b 6.994
_cell_length_c 9.573
_cell_angle_alpha 90.00
_cell_angle_beta 90.00
_cell_angle_gamma 90.00
loop_
_atom_site_label
_atom_site_type_symbol
_atom_site_fract_x
_atom_site_fract_y
_atom_site_fract_z
Tb1 Tb 0.176 0.671 0.069
Tb2 Tb 0.324 0.171 0.431
Tb3 Tb 0.824 0.329 0.569
Tb4 Tb 0.676 0.829 0.931
Tb5 Tb 0.824 0.329 0.931
Tb6 Tb 0.676 0.829 0.569
Tb7 Tb 0.176 0.671 0.431
Tb8 Tb 0.324 0.171 0.069
Nd1 Nd 0.640 0.544 0.250
Nd2 Nd 0.860 0.044 0.250
Nd3 Nd 0.360 0.456 0.750
Nd4 Nd 0.140 0.956 0.750
Co1 Co 0.062 0.386 0.250
Co2 Co 0.438 0.886 0.250
Co3 Co 0.938 0.614 0.750
Co4 Co 0.562 0.114 0.750
# Distance to the lowest polymorph of the same formula = 0 meV per atom
# Energy of formation = -121 meV/atom